# 1
ZrOs2Br | PBEsol | optimized geometry

Its formation energy (no corrections) is 488 meV/atom. The density of states at the Fermi level comes out at 1.027 states/eV/atom. Its space-group type is No. 10. Its energy above the most stable polymorph in this dataset is 248.8 meV/atom. Its crystal system is monoclinic.

Unit cell a=2.913 b=4.927 c=4.614 alpha=90.00 beta=90.82 gamma=90.00
Fractional coordinates of all 4 atoms:
Zr 0.000 0.000 0.000
Os 0.267 0.500 0.745
Os 0.733 0.500 0.255
Br 0.500 0.000 0.500


# 2
BeNiP | PBEsol | optimized geometry

The density of states at the Fermi level comes out at 0.412 states/eV/atom. The value obtained for the formation energy from the elements is -1.07 eV per formula unit. Its space-group type is No. 216. Its crystal system is cubic.

Unit cell a=5.138 b=5.138 c=5.138 alpha=90.00 beta=90.00 gamma=90.00
Fractional coordinates of all 12 atoms:
Be 0.000 0.000 0.000
Be 0.000 0.500 0.500
Be 0.500 0.000 0.500
Be 0.500 0.500 0.000
Ni 0.000 0.000 0.500
Ni 0.000 0.500 0.000
Ni 0.500 0.000 0.000
Ni 0.500 0.500 0.500
P 0.250 0.250 0.750
P 0.250 0.750 0.250
P 0.750 0.250 0.250
P 0.750 0.750 0.750


# 3
BeIrPb | PBEsol | optimized geometry

The density of states at the Fermi level comes out at 0.418 states/eV/atom. The value obtained for the formation energy from the elements is 1.09 eV per formula unit. Its space-group type is No. 156. Its crystal system is trigonal.

Unit cell a=3.064 b=3.064 c=6.169 alpha=90.00 beta=90.00 gamma=120.00
Fractional coordinates of all 3 atoms:
Be 0.000 0.000 0.000
Ir 0.333 0.667 0.771
Pb 0.667 0.333 0.390


# 4
SrFe2Ag | PBEsol | optimized geometry

The density of states at the Fermi level comes out at 0.841 states/eV/atom. The value obtained for the formation energy from the elements is 1.76 eV per formula unit. Its space-group type is No. 99. Its crystal system is tetragonal.

Unit cell a=3.133 b=3.133 c=7.364 alpha=90.00 beta=90.00 gamma=90.00
Fractional coordinates of all 4 atoms:
Sr 0.000 0.000 0.000
Fe 0.000 0.000 0.558
Fe 0.500 0.500 0.690
Ag 0.500 0.500 0.328


# 5
TaIrPt2 | PBEsol | optimized geometry

The density of states at the Fermi level comes out at 0.938 states/eV/atom. The value obtained for the formation energy from the elements is -1.62 eV per formula unit. Its space-group type is No. 99. Its energy above the most stable polymorph in this dataset is 231.1 meV/atom. Its crystal system is tetragonal.

Unit cell a=3.354 b=3.354 c=5.522 alpha=90.00 beta=90.00 gamma=90.00
Fractional coordinates of all 4 atoms:
Ta 0.000 0.000 0.000
Ir 0.500 0.500 0.239
Pt 0.000 0.000 0.492
Pt 0.500 0.500 0.740


# 6
MnFe2Ag | PBEsol | optimized geometry

The density of states at the Fermi level comes out at 1.185 states/eV/atom. The value obtained for the formation energy from the elements is 1.82 eV per formula unit. Its space-group type is No. 44. Its energy above the most stable polymorph in this dataset is 56.0 meV/atom. Its crystal system is orthorhombic.

Unit cell a=2.983 b=4.209 c=8.178 alpha=90.00 beta=90.00 gamma=90.00
Fractional coordinates of all 8 atoms:
Mn 0.000 0.000 0.000
Mn 0.500 0.500 0.500
Fe 0.000 0.000 0.531
Fe 0.000 0.500 0.252
Fe 0.500 0.000 0.752
Fe 0.500 0.500 0.031
Ag 0.000 0.500 0.767
Ag 0.500 0.000 0.267


# 7
Tc2NiCl | PBEsol | optimized geometry

Its formation energy (no corrections) is 333 meV/atom. The density of states at the Fermi level comes out at 0.540 states/eV/atom. Its space-group type is No. 47. Its energy above the most stable polymorph in this dataset is 0.0 meV/atom. Its crystal system is orthorhombic.

Unit cell a=2.854 b=3.207 c=6.345 alpha=90.00 beta=90.00 gamma=90.00
Fractional coordinates of all 4 atoms:
Tc 0.000 0.000 0.192
Tc 0.000 0.000 0.808
Ni 0.500 0.500 0.000
Cl 0.000 0.500 0.500


# 8
KBa3Pd | PBEsol | optimized geometry

The density of states at the Fermi level comes out at 0.728 states/eV/atom. The value obtained for the formation energy from the elements is -0.91 eV per formula unit. Its space-group type is No. 221. Its crystal system is cubic.

Unit cell a=6.338 b=6.338 c=6.338 alpha=90.00 beta=90.00 gamma=90.00
Fractional coordinates of all 5 atoms:
K 0.000 0.000 0.000
Ba 0.000 0.500 0.500
Ba 0.500 0.000 0.500
Ba 0.500 0.500 0.000
Pd 0.500 0.500 0.500